The following is a DFT calculation (GGA-PBE) of an optimized crystal structure of BeMoAsOs2.

Cell and atoms, written as CIF:
```
data_BeMoAsOs2
_chemical_formula_sum 'Be1 Mo1 As1 Os2'
_cell_length_a 4.550
_cell_length_b 4.550
_cell_length_c 4.088
_cell_angle_alpha 90.00
_cell_angle_beta 90.00
_cell_angle_gamma 90.00
_space_group_name_H-M_alt 'P 1'
_space_group_IT_number 1
loop_
_space_group_symop_operation_xyz
'x,y,z'
loop_
_atom_site_label
_atom_site_type_symbol
_atom_site_fract_x
_atom_site_fract_y
_atom_site_fract_z
_atom_site_occupancy
Be1 Be 0.000 0.000 0.000 1
Mo1 Mo 0.500 0.500 0.000 1
As1 As 0.000 0.000 0.500 1
Os1 Os 0.000 0.500 0.500 1
Os2 Os 0.500 0.000 0.500 1
```

Properties
As for the total magnetic moment: 2.7 μB/cell. The raw total energy comes out at -34.135 eV/cell. Its density of states at the Fermi level is 4.71 states/eV/cell. Its formation enthalpy at 0 K is 1.506 eV per atom.



The following is a DFT calculation (GGA-PBE) of an optimized crystal structure of BeMoAs2Os.

Cell and atoms, written as CIF:
```
data_BeMoAs2Os
_chemical_formula_sum 'Be1 Mo1 As2 Os1'
_cell_length_a 4.311
_cell_length_b 4.311
_cell_length_c 4.083
_cell_angle_alpha 90.00
_cell_angle_beta 90.00
_cell_angle_gamma 90.00
_space_group_name_H-M_alt 'P 1'
_space_group_IT_number 1
loop_
_space_group_symop_operation_xyz
'x,y,z'
loop_
_atom_site_label
_atom_site_type_symbol
_atom_site_fract_x
_atom_site_fract_y
_atom_site_fract_z
_atom_site_occupancy
Be1 Be 0.000 0.000 0.000 1
Mo1 Mo 0.000 0.000 0.500 1
As1 As 0.000 0.500 0.000 1
As2 As 0.500 0.000 0.000 1
Os1 Os 0.500 0.500 0.500 1
```

Properties
As for the total magnetic moment: 0.0 μB/cell. The raw total energy comes out at -29.752 eV/cell. Its density of states at the Fermi level is 4.38 states/eV/cell. Its formation enthalpy at 0 K is 1.067 eV per atom.



The following is a DFT calculation (GGA-PBE) of an optimized crystal structure of Be2MoAsP.

Cell and atoms, written as CIF:
```
data_Be2MoAsP
_chemical_formula_sum 'Be2 Mo1 As1 P1'
_cell_length_a 4.431
_cell_length_b 4.431
_cell_length_c 4.699
_cell_angle_alpha 90.00
_cell_angle_beta 90.00
_cell_angle_gamma 90.00
_space_group_name_H-M_alt 'P 1'
_space_group_IT_number 1
loop_
_space_group_symop_operation_xyz
'x,y,z'
loop_
_atom_site_label
_atom_site_type_symbol
_atom_site_fract_x
_atom_site_fract_y
_atom_site_fract_z
_atom_site_occupancy
Be1 Be 0.000 0.500 0.000 1
Be2 Be 0.500 0.000 0.000 1
Mo1 Mo 0.000 0.000 0.000 1
As1 As 0.000 0.000 0.500 1
P1 P 0.500 0.500 0.500 1
```

Properties
As for the total magnetic moment: 0.0 μB/cell. The raw total energy comes out at -22.157 eV/cell. Its density of states at the Fermi level is 2.52 states/eV/cell. Its formation enthalpy at 0 K is 1.237 eV per atom.



The following is a DFT calculation (GGA-PBE) of an optimized crystal structure of BeMoAs2Pb.

Cell and atoms, written as CIF:
```
data_BeMoAs2Pb
_chemical_formula_sum 'Be1 Mo1 As2 Pb1'
_cell_length_a 4.816
_cell_length_b 4.816
_cell_length_c 5.578
_cell_angle_alpha 90.00
_cell_angle_beta 90.00
_cell_angle_gamma 90.00
_space_group_name_H-M_alt 'P 1'
_space_group_IT_number 1
loop_
_space_group_symop_operation_xyz
'x,y,z'
loop_
_atom_site_label
_atom_site_type_symbol
_atom_site_fract_x
_atom_site_fract_y
_atom_site_fract_z
_atom_site_occupancy
Be1 Be 0.000 0.000 0.000 1
Mo1 Mo 0.500 0.500 0.500 1
As1 As 0.000 0.500 0.500 1
As2 As 0.500 0.000 0.500 1
Pb1 Pb 0.500 0.500 0.000 1
```

Properties
As for the total magnetic moment: 0.0 μB/cell. The raw total energy comes out at -23.458 eV/cell. Its density of states at the Fermi level is 4.11 states/eV/cell. Its formation enthalpy at 0 K is 0.821 eV per atom.



The following is a DFT calculation (GGA-PBE) of an optimized crystal structure of BeMoAs2Se.

Cell and atoms, written as CIF:
```
data_BeMoAs2Se
_chemical_formula_sum 'Be1 Mo1 As2 Se1'
_cell_length_a 4.943
_cell_length_b 4.943
_cell_length_c 4.813
_cell_angle_alpha 90.00
_cell_angle_beta 90.00
_cell_angle_gamma 90.00
_space_group_name_H-M_alt 'P 1'
_space_group_IT_number 1
loop_
_space_group_symop_operation_xyz
'x,y,z'
loop_
_atom_site_label
_atom_site_type_symbol
_atom_site_fract_x
_atom_site_fract_y
_atom_site_fract_z
_atom_site_occupancy
Be1 Be 0.000 0.000 0.000 1
Mo1 Mo 0.500 0.500 0.500 1
As1 As 0.000 0.500 0.500 1
As2 As 0.500 0.000 0.500 1
Se1 Se 0.500 0.500 0.000 1
```

Properties
As for the energy relative to the elements, uncorrected: 826 meV/atom. As for the total magnetic moment: 0.0 μB/cell. The value obtained for the polymorph energy (0 for the lowest one) is 0 meV per atom. The raw total energy comes out at -23.212 eV/cell. Its density of states at the Fermi level is 3.87 states/eV/cell.



The following is a DFT calculation (GGA-PBE) of an optimized crystal structure of BeMoAsSe2.

Cell and atoms, written as CIF:
```
data_BeMoAsSe2
_chemical_formula_sum 'Be1 Mo1 As1 Se2'
_cell_length_a 4.636
_cell_length_b 4.636
_cell_length_c 4.312
_cell_angle_alpha 90.00
_cell_angle_beta 90.00
_cell_angle_gamma 90.00
_space_group_name_H-M_alt 'P 1'
_space_group_IT_number 1
loop_
_space_group_symop_operation_xyz
'x,y,z'
loop_
_atom_site_label
_atom_site_type_symbol
_atom_site_fract_x
_atom_site_fract_y
_atom_site_fract_z
_atom_site_occupancy
Be1 Be 0.000 0.000 0.000 1
Mo1 Mo 0.500 0.500 0.500 1
As1 As 0.000 0.000 0.500 1
Se1 Se 0.000 0.500 0.000 1
Se2 Se 0.500 0.000 0.000 1
```

Properties
As for the energy relative to the elements, uncorrected: 694 meV/atom. As for the total magnetic moment: 2.7 μB/cell. The value obtained for the polymorph energy (0 for the lowest one) is 0 meV per atom. The raw total energy comes out at -22.704 eV/cell. Its density of states at the Fermi level is 2.46 states/eV/cell.



The following is a DFT calculation (GGA-PBE) of an optimized crystal structure of BeMoAs2Se.

Cell and atoms, written as CIF:
```
data_BeMoAs2Se
_chemical_formula_sum 'Be1 Mo1 As2 Se1'
_cell_length_a 4.262
_cell_length_b 4.262
_cell_length_c 4.814
_cell_angle_alpha 90.00
_cell_angle_beta 90.00
_cell_angle_gamma 90.00
_space_group_name_H-M_alt 'P 1'
_space_group_IT_number 1
loop_
_space_group_symop_operation_xyz
'x,y,z'
loop_
_atom_site_label
_atom_site_type_symbol
_atom_site_fract_x
_atom_site_fract_y
_atom_site_fract_z
_atom_site_occupancy
Be1 Be 0.000 0.000 0.000 1
Mo1 Mo 0.500 0.500 0.500 1
As1 As 0.000 0.500 0.000 1
As2 As 0.500 0.000 0.000 1
Se1 Se 0.000 0.000 0.500 1
```

Properties
As for the energy relative to the elements, uncorrected: 860 meV/atom. As for the total magnetic moment: 0.1 μB/cell. The value obtained for the polymorph energy (0 for the lowest one) is 34 meV per atom. The raw total energy comes out at -23.040 eV/cell. Its density of states at the Fermi level is 5.40 states/eV/cell.



The following is a DFT calculation (GGA-PBE) of an optimized crystal structure of BeMoAsSe2.

Cell and atoms, written as CIF:
```
data_BeMoAsSe2
_chemical_formula_sum 'Be1 Mo1 As1 Se2'
_cell_length_a 4.897
_cell_length_b 4.897
_cell_length_c 4.965
_cell_angle_alpha 90.00
_cell_angle_beta 90.00
_cell_angle_gamma 90.00
_space_group_name_H-M_alt 'P 1'
_space_group_IT_number 1
loop_
_space_group_symop_operation_xyz
'x,y,z'
loop_
_atom_site_label
_atom_site_type_symbol
_atom_site_fract_x
_atom_site_fract_y
_atom_site_fract_z
_atom_site_occupancy
Be1 Be 0.000 0.000 0.000 1
Mo1 Mo 0.500 0.500 0.500 1
As1 As 0.500 0.500 0.000 1
Se1 Se 0.000 0.500 0.500 1
Se2 Se 0.500 0.000 0.500 1
```

Properties
As for the energy relative to the elements, uncorrected: 752 meV/atom. As for the total magnetic moment: 0.0 μB/cell. The value obtained for the polymorph energy (0 for the lowest one) is 58 meV per atom. The raw total energy comes out at -22.415 eV/cell. Its density of states at the Fermi level is 4.05 states/eV/cell.



The following is a DFT calculation (GGA-PBE) of an optimized crystal structure of Ta2BeMoAs.

Cell and atoms, written as CIF:
```
data_Ta2BeMoAs
_chemical_formula_sum 'Ta2 Be1 Mo1 As1'
_cell_length_a 4.719
_cell_length_b 4.719
_cell_length_c 4.564
_cell_angle_alpha 90.00
_cell_angle_beta 90.00
_cell_angle_gamma 90.00
_space_group_name_H-M_alt 'P 1'
_space_group_IT_number 1
loop_
_space_group_symop_operation_xyz
'x,y,z'
loop_
_atom_site_label
_atom_site_type_symbol
_atom_site_fract_x
_atom_site_fract_y
_atom_site_fract_z
_atom_site_occupancy
Ta1 Ta 0.000 0.500 0.000 1
Ta2 Ta 0.500 0.000 0.000 1
Be1 Be 0.000 0.000 0.500 1
Mo1 Mo 0.500 0.500 0.500 1
As1 As 0.500 0.500 0.000 1
```

Properties
As for the total magnetic moment: 0.0 μB/cell. The raw total energy comes out at -36.330 eV/cell. Its density of states at the Fermi level is 5.77 states/eV/cell. Its formation enthalpy at 0 K is 1.316 eV per atom.



The following is a DFT calculation (GGA-PBE) of an optimized crystal structure of ZrBe2MoAs.

Cell and atoms, written as CIF:
```
data_ZrBe2MoAs
_chemical_formula_sum 'Zr1 Be2 Mo1 As1'
_cell_length_a 4.522
_cell_length_b 4.522
_cell_length_c 4.946
_cell_angle_alpha 90.00
_cell_angle_beta 90.00
_cell_angle_gamma 90.00
_space_group_name_H-M_alt 'P 1'
_space_group_IT_number 1
loop_
_space_group_symop_operation_xyz
'x,y,z'
loop_
_atom_site_label
_atom_site_type_symbol
_atom_site_fract_x
_atom_site_fract_y
_atom_site_fract_z
_atom_site_occupancy
Zr1 Zr 0.000 0.000 0.000 1
Be1 Be 0.000 0.500 0.000 1
Be2 Be 0.500 0.000 0.000 1
Mo1 Mo 0.500 0.500 0.500 1
As1 As 0.000 0.000 0.500 1
```

Properties
As for the total magnetic moment: 3.0 μB/cell. The raw total energy comes out at -23.965 eV/cell. Its density of states at the Fermi level is 2.89 states/eV/cell. Its formation enthalpy at 0 K is 1.503 eV per atom.



The following is a DFT calculation (GGA-PBE) of an optimized crystal structure of Be2As2N.

Cell and atoms, written as CIF:
```
data_Be2As2N
_chemical_formula_sum 'Be2 As2 N1'
_cell_length_a 3.417
_cell_length_b 3.417
_cell_length_c 6.476
_cell_angle_alpha 90.00
_cell_angle_beta 90.00
_cell_angle_gamma 90.00
_space_group_name_H-M_alt 'P 1'
_space_group_IT_number 1
loop_
_space_group_symop_operation_xyz
'x,y,z'
loop_
_atom_site_label
_atom_site_type_symbol
_atom_site_fract_x
_atom_site_fract_y
_atom_site_fract_z
_atom_site_occupancy
Be1 Be 0.000 0.500 0.000 1
Be2 Be 0.500 0.000 0.000 1
As1 As 0.000 0.500 0.500 1
As2 As 0.500 0.000 0.500 1
N1 N 0.000 0.000 0.000 1
```

Properties
As for the energy relative to the elements, uncorrected: 182 meV/atom. As for the total magnetic moment: 0.0 μB/cell. The value obtained for the polymorph energy (0 for the lowest one) is 0 meV per atom. The raw total energy comes out at -24.167 eV/cell. Its density of states at the Fermi level is 1.67 states/eV/cell.



The following is a DFT calculation (GGA-PBE) of an optimized crystal structure of Be2As2N.

Cell and atoms, written as CIF:
```
data_Be2As2N
_chemical_formula_sum 'Be2 As2 N1'
_cell_length_a 5.845
_cell_length_b 5.845
_cell_length_c 5.845
_cell_angle_alpha 142.26
_cell_angle_beta 142.26
_cell_angle_gamma 54.44
_space_group_name_H-M_alt 'P 1'
_space_group_IT_number 1
loop_
_space_group_symop_operation_xyz
'x,y,z'
loop_
_atom_site_label
_atom_site_type_symbol
_atom_site_fract_x
_atom_site_fract_y
_atom_site_fract_z
_atom_site_occupancy
Be1 Be 0.106 0.106 0.000 1
Be2 Be 0.894 0.894 0.000 1
As1 As 0.250 0.750 0.500 1
As2 As 0.750 0.250 0.500 1
N1 N 0.500 0.500 0.000 1
```

Properties
As for the energy relative to the elements, uncorrected: 1313 meV/atom. As for the total magnetic moment: 1.5 μB/cell. The value obtained for the polymorph energy (0 for the lowest one) is 1131 meV per atom. The raw total energy comes out at -18.510 eV/cell. Its density of states at the Fermi level is 2.63 states/eV/cell.